[1]
Compound: SmTm4Al2
Source: Alexandria via LeMat-Bulk
Functional: PBE
Structure: relaxed

Cell lengths 10.3317, 6.6456, 6.6162 Å; angles 120.17, 90.00, 90.00 degrees
Sites, in units of the cell vectors:
Tm 0.8383 0.4999 0.0001
Tm 0.7501 0.5001 0.5001
Tm 0.7499 0.0001 0.5001
Tm 0.6617 0.9999 0.0001
Tm 0.3383 0.0001 0.9999
Tm 0.2501 0.9999 0.4999
Tm 0.2499 0.4999 0.4999
Tm 0.1617 0.5001 0.9999
Al 0.0000 0.7247 0.4490
Al 0.0000 0.2753 0.5510
Al 0.5000 0.7753 0.5510
Al 0.5000 0.2247 0.4490
Sm 0.0000 0.0000 0.0000
Sm 0.5000 0.5000 0.0000

Summary:
formation energy from the elements: -47 meV/atom
symmetry: Fmmm (69)

=====

[2]
Compound: GeP2HO
Source: Alexandria via LeMat-Bulk
Functional: PBE
Structure: relaxed

Cell lengths 3.3553, 3.3553, 6.4192 Å; angles 90.00, 90.00, 90.00 degrees
Sites, in units of the cell vectors:
P 0.0000 0.5000 0.0000
P 0.5000 0.0000 0.0000
Ge 0.5000 0.5000 0.5000
O 0.0000 0.0000 0.5000
H 0.0000 0.0000 0.0000

Summary:
symmetry: P4/mmm (123)
calculated total energy: -4.28 eV/atom

=====

[3]
Compound: Cu2GeP2
Source: Alexandria via LeMat-Bulk
Functional: PBE
Structure: relaxed

Cell lengths 3.6775, 3.6775, 6.2255 Å; angles 72.82, 72.82, 90.00 degrees
Sites, in units of the cell vectors:
P 0.7500 0.2500 0.5000
P 0.2500 0.7500 0.5000
Ge 0.0000 0.0000 0.0000
Cu 0.3925 0.3925 0.2150
Cu 0.6075 0.6075 0.7850

Summary:
formation energy from the elements: 291 meV/atom
symmetry: I4/mmm (139)

=====

[4]
Compound: ZrMnCu2Ir
Source: Alexandria via LeMat-Bulk
Functional: PBE
Structure: relaxed

Cell lengths 4.7287, 4.8527, 4.7287 Å; angles 90.00, 90.00, 90.00 degrees
Sites, in units of the cell vectors:
Mn 0.5000 0.5000 0.5000
Ir 0.0000 0.0000 0.0000
Cu 0.0000 0.0000 0.5000
Cu 0.5000 0.0000 0.0000
Zr 0.0000 0.5000 0.0000

Summary:
formation energy from the elements: 804 meV/atom
symmetry: P4/mmm (123)

=====

[5]
Compound: LiPm2SnPd6
Source: Alexandria via LeMat-Bulk
Functional: PBE
Structure: relaxed

Cell lengths 5.6816, 8.5184, 5.6824 Å; angles 70.64, 59.94, 90.14 degrees
Sites, in units of the cell vectors:
Li 0.0000 0.0000 0.0000
Pm 0.7052 0.1162 0.5899
Pm 0.2948 0.8838 0.4101
Sn 0.5000 0.5000 0.0000
Pd 0.2435 0.2355 0.5145
Pd 0.7570 0.7658 0.9902
Pd 0.2506 0.7645 0.9912
Pd 0.7494 0.2355 0.0088
Pd 0.2430 0.2342 0.0098
Pd 0.7565 0.7645 0.4855

Summary:
formation energy from the elements: -514 meV/atom
symmetry: P-1 (2)

=====

[6]
Compound: Sc6H3CN2
Source: Alexandria via LeMat-Bulk
Functional: PBE
Structure: relaxed

Cell lengths 3.2830, 6.4308, 7.1814 Å; angles 101.22, 103.21, 90.00 degrees
Sites, in units of the cell vectors:
Sc 0.3363 0.9005 0.6726
Sc 0.6718 0.5716 0.3436
Sc 0.6637 0.0995 0.3274
Sc 0.0053 0.2404 0.0105
Sc 0.9947 0.7596 0.9895
Sc 0.3282 0.4284 0.6564
H 0.5000 0.5000 0.0000
H 0.8312 0.1727 0.6623
H 0.1688 0.8273 0.3377
C 0.5000 0.0000 0.0000
N 0.8323 0.6636 0.6646
N 0.1677 0.3364 0.3354

Summary:
symmetry: C2/m (12)
calculated total energy: -7.13 eV/atom